No. 1
Material: Na4Ac3DySe8
Method: DFT, PBE
State: relaxed

Cell and atoms, written as POSCAR:
```
Na4Ac3DySe8
1.0
4.4303 2.5578 7.0128
-4.4303 2.5578 7.0128
0.0000 -5.1157 7.0128
Na Ac Dy Se
4 3 1 8
Direct
0.0000 0.0000 0.0000 Na
0.0000 0.5000 0.5000 Na
0.5000 0.0000 0.5000 Na
0.5000 0.5000 0.0000 Na
0.0000 0.0000 0.5000 Ac
0.0000 0.5000 0.0000 Ac
0.5000 0.0000 0.0000 Ac
0.5000 0.5000 0.5000 Dy
0.2493 0.2493 0.2493 Se
0.2628 0.2628 0.7369 Se
0.2628 0.7369 0.2628 Se
0.2630 0.7372 0.7372 Se
0.7369 0.2628 0.2628 Se
0.7372 0.2631 0.7372 Se
0.7372 0.7372 0.2631 Se
0.7507 0.7507 0.7507 Se
```

Results
Fermi-level density of states = 0.00 states/eV/cell
Crystal system = trigonal
E_tot = -77.4 eV/cell


No. 2
Material: NaAcDy2Te4
Method: DFT, PBE
State: relaxed

Cell and atoms, written as POSCAR:
```
NaAcDy2Te4
1.0
7.7389 0.0000 0.0000
0.0000 4.4434 0.0000
-2.5399 0.0000 7.5480
Na Ac Dy Te
1 1 2 4
Direct
0.0000 0.0000 0.0000 Na
0.5000 0.5000 0.0000 Ac
0.0000 0.5000 0.5000 Dy
0.5000 0.0000 0.5000 Dy
0.2359 0.0000 0.7305 Te
0.2506 0.5000 0.2671 Te
0.7494 0.5000 0.7329 Te
0.7641 0.0000 0.2695 Te
```

Results
Fermi-level density of states = 2.91 states/eV/cell
Crystal system = monoclinic
E_tot = -38.0 eV/cell


No. 3
Material: Na3AcDy2Te6
Method: DFT, PBE
State: relaxed

Cell and atoms, written as POSCAR:
```
Na3AcDy2Te6
1.0
3.9362 -6.8234 0.0000
3.9362 6.8234 0.0000
-2.6479 0.0000 7.5709
Na Ac Dy Te
3 1 2 6
Direct
0.0000 0.0000 0.0000 Na
0.3382 0.6618 0.0000 Na
0.6618 0.3382 0.0000 Na
0.5000 0.5000 0.5000 Ac
0.1676 0.8324 0.5000 Dy
0.8324 0.1676 0.5000 Dy
0.0685 0.4203 0.2632 Te
0.2272 0.2272 0.7370 Te
0.4203 0.0685 0.2632 Te
0.5797 0.9315 0.7368 Te
0.7728 0.7728 0.2630 Te
0.9315 0.5797 0.7368 Te
```

Results
Fermi-level density of states = 0.00 states/eV/cell
Crystal system = monoclinic
E_tot = -52.1 eV/cell